Entry 1:
An optimized crystal structure of ZnCoBPt, computed with GGA-PBE.

a b c (Å): 4.083 4.083 4.083
angles (deg): 60.00 60.00 60.00
Fractional positions:
Zn  0.250  0.250  0.250
B  0.000  0.000  0.000
Pt  0.500  0.500  0.500
Co  0.750  0.750  0.750

## Properties
Calculated volume, A^3/atom: 12.034
Relative energy among the computed polymorphs, meV/atom: 337
Symmetry: F-43m, No. 216
Total magnetic moment, Bohr magnetons per cell: 1.0

---

Entry 2:
An optimized crystal structure of ZrCoBPt, computed with GGA-PBE.

a b c (Å): 4.328 4.328 4.328
angles (deg): 60.00 60.00 60.00
Last column: magnetic moment on the atom in μB.
Fractional positions:
Zr  0.250  0.250  0.250  0.07
B  0.000  0.000  0.000  -0.02
Pt  0.500  0.500  0.500  0.07
Co  0.750  0.750  0.750  1.64

## Properties
Calculated volume, A^3/atom: 14.333
Relative energy among the computed polymorphs, meV/atom: 8
Symmetry: F-43m, No. 216
Total magnetic moment, Bohr magnetons per cell: 1.7

---

Entry 3:
An optimized crystal structure of ZrCoBPt, computed with GGA-PBE.

a b c (Å): 4.289 4.289 4.289
angles (deg): 60.00 60.00 60.00
Fractional positions:
Zr  0.500  0.500  0.500
Co  0.750  0.750  0.750
B  0.000  0.000  0.000
Pt  0.250  0.250  0.250

## Properties
Calculated volume, A^3/atom: 13.943
Relative energy among the computed polymorphs, meV/atom: 0
Symmetry: F-43m, No. 216
Total magnetic moment, Bohr magnetons per cell: 0.0

---

Entry 4:
An optimized crystal structure of PuCo4B4, computed with GGA-PBE.

a b c (Å): 6.958 6.958 3.804
angles (deg): 90.00 90.00 90.00
Last column: magnetic moment on the atom in μB.
Fractional positions:
B  0.838  0.298  0.606  0.00
B  0.162  0.702  0.606  0.00
B  0.338  0.798  0.894  0.00
B  0.702  0.838  0.394  0.00
B  0.202  0.338  0.106  0.00
B  0.662  0.202  0.894  0.00
B  0.798  0.662  0.106  0.00
B  0.298  0.162  0.394  0.00
Co  0.881  0.639  0.609  -0.03
Co  0.861  0.381  0.109  -0.04
Co  0.361  0.881  0.391  -0.07
Co  0.119  0.361  0.609  -0.03
Co  0.619  0.861  0.891  -0.03
Co  0.139  0.619  0.109  -0.07
Co  0.639  0.119  0.391  -0.04
Co  0.381  0.139  0.891  -0.03
Pu  0.500  0.500  0.500  0.49
Pu  0.000  0.000  0.000  0.49

## Properties
Calculated volume, A^3/atom: 10.232
Total energy, Ry per atom: -0.5802
Symmetry: P4_2/n, No. 86
Total magnetic moment, Bohr magnetons per cell: 0.0